A relaxed structure of Tb2GaPPt6, computed with PBE.

It has space group Pmmn (No. 59, origin choice 2), with a = 5.554 Å, b = 8.560 Å, c = 8.166 Å, α = 90.00°, β = 90.00° and γ = 90.00°. The distinct sites, in fractional coordinates, are Tb at (0.250, 0.014, 0.231), Ga at (0.250, 0.750, 0.782), P at (0.250, 0.250, 0.741), Pt at (0.000, 0.250, 0.484), Pt at (0.002, 0.750, 0.035) and Pt at (0.250, 0.004, 0.619).

For the energy, the calculation gives -6.302 eV/atom. For the volume, the calculation gives 388 Å³/cell. The value obtained for the calculated density is 13.6 g/cm3. The calculation puts the energy of formation from the pure elements at -0.9079 eV per atom. The value obtained for the magnetic moment is 0.00 μB/f.u.

A relaxed structure of ThGa2P2Pt7, computed with PBE.

It has space group C2/m (No. 12), with a = 5.668 Å, b = 5.636 Å, c = 14.444 Å, α = 90.00°, β = 96.46° and γ = 90.00°. The distinct sites, in fractional coordinates, are Th at (0.000, 0.000, 0.000), Ga at (0.136, 0.000, 0.427), P at (0.077, 0.500, 0.254), Pt at (0.000, 0.500, 0.000), Pt at (0.085, 0.500, 0.411) and Pt at (0.200, 0.250, 0.837).

For the energy, the calculation gives -6.154 eV/atom. For the volume, the calculation gives 459 Å³/cell. The value obtained for the calculated density is 13.0 g/cm3. The calculation puts the energy of formation from the pure elements at -0.6059 eV per atom. The value obtained for the magnetic moment is 0.00 μB/f.u.

A relaxed structure of TmGa2P2Pt7, computed with PBE.

It has space group C2/m (No. 12), with a = 5.511 Å, b = 5.543 Å, c = 14.347 Å, α = 90.00°, β = 96.11° and γ = 90.00°. The distinct sites, in fractional coordinates, are Tm at (0.000, 0.000, 0.000), Ga at (0.131, 0.000, 0.424), P at (0.070, 0.500, 0.249), Pt at (0.000, 0.500, 0.000), Pt at (0.095, 0.500, 0.409) and Pt at (0.206, 0.250, 0.845).

For the energy, the calculation gives -5.977 eV/atom. For the volume, the calculation gives 436 Å³/cell. The value obtained for the calculated density is 13.2 g/cm3. The calculation puts the energy of formation from the pure elements at -0.6742 eV per atom. The value obtained for the magnetic moment is 0.00 μB/f.u.

A relaxed structure of Pu2GaP, computed with PBE.

It has space group R-3m (No. 166, hexagonal axes), with a = 3.8511 Å, b = 3.8511 Å, c = 22.9822 Å, α = 90.00°, β = 90.00° and γ = 120.00°. The distinct sites, in fractional coordinates, are Pu at (0.0000, 0.0000, 0.2401), Ga at (0.0000, 0.0000, 0.0000) and P at (0.0000, 0.0000, 0.5000).

For the energy, the calculation gives -9.767 eV/atom. For the volume, the calculation gives 295 Å³/cell. The value obtained for the calculated density is 9.9 g/cm3. The calculation puts the energy of formation from the pure elements at -0.4921 eV per atom. The value obtained for the magnetic moment is 11.15 μB/f.u.

- Among the records above, which one has the highest volume?
  ThGa2P2Pt7